Density functional theory data (PBEsol) for a relaxed structure of BeCu2Tc.

Properties
The calculation puts the formation energy at 147 meV per atom. As for the crystal system: monoclinic. The total DFT energy (no corrections) comes out at -23.35 eV/cell.

Cell lengths 2.4061, 4.5622, 4.8895 Å; angles 115.35, 99.98, 98.97 degrees
Element x y z (fractional)
Cu (0.5000, 0.5000, 0.5000)
Cu (0.0000, 0.0000, 0.5000)
Be (0.5000, 0.0000, 0.0000)
Tc (0.0000, 0.5000, 0.0000)


Density functional theory data (PBEsol) for a relaxed structure of RuSeI2N.

Properties
As for the crystal system: tetragonal. The total DFT energy (no corrections) comes out at -23.69 eV/cell. Its formation energy without anion corrections is 0.4781 eV per atom.

Cell lengths 3.6587, 5.4406, 5.4406 Å; angles 90.00, 90.00, 90.00 degrees
Element x y z (fractional)
I (0.0000, 0.0000, 0.5000)
I (0.0000, 0.5000, 0.0000)
Ru (0.0000, 0.0000, 0.0000)
N (0.5000, 0.0000, 0.0000)
Se (0.5000, 0.5000, 0.5000)


Density functional theory data (PBEsol) for a relaxed structure of RbHg3Pt.

Properties
The calculation puts the formation energy at 1201 meV per atom. The energy above the lowest structure with this stoichiometry is 1.443 eV/atom. As for the crystal system: cubic. The total DFT energy (no corrections) comes out at -3.69 eV/cell.

Cell lengths 6.3011, 6.3011, 6.3011 Å; angles 90.00, 90.00, 90.00 degrees
Last column: magnetic moment on the atom in μB.
Element x y z (fractional)
Hg (0.5000, 0.0000, 0.0000)  0.00
Hg (0.0000, 0.0000, 0.5000)  0.00
Hg (0.0000, 0.5000, 0.0000)  0.00
Rb (0.0000, 0.0000, 0.0000)  0.00
Pt (0.5000, 0.5000, 0.5000)  0.95


Density functional theory data (PBEsol) for a relaxed structure of CdAs2SeI.

Properties
As for the crystal system: tetragonal. The total DFT energy (no corrections) comes out at -12.97 eV/cell. Its formation energy without anion corrections is 0.8122 eV per atom.

Cell lengths 5.0041, 5.2038, 5.2038 Å; angles 90.00, 90.00, 90.00 degrees
Element x y z (fractional)
Cd (0.0000, 0.0000, 0.0000)
Se (0.5000, 0.0000, 0.0000)
As (0.0000, 0.0000, 0.5000)
As (0.0000, 0.5000, 0.0000)
I (0.5000, 0.5000, 0.5000)


Density functional theory data (PBEsol) for a relaxed structure of GePb3N.

Properties
As for the crystal system: cubic. The total DFT energy (no corrections) comes out at -22.70 eV/cell. Its formation energy without anion corrections is 0.5528 eV per atom.

Cell lengths 4.9209, 4.9209, 4.9209 Å; angles 90.00, 90.00, 90.00 degrees
Element x y z (fractional)
Pb (0.0000, 0.0000, 0.5000)
Pb (0.5000, 0.0000, 0.0000)
Pb (0.0000, 0.5000, 0.0000)
N (0.0000, 0.0000, 0.0000)
Ge (0.5000, 0.5000, 0.5000)


Density functional theory data (PBEsol) for a relaxed structure of TlSi4Se.

Properties
As for the crystal system: cubic. The total DFT energy (no corrections) comes out at -26.67 eV/cell. Its formation energy without anion corrections is 0.4670 eV per atom.

Cell lengths 5.3561, 5.3561, 5.3561 Å; angles 60.00, 60.00, 60.00 degrees
Element x y z (fractional)
Si (0.3754, 0.8738, 0.3754)
Si (0.8738, 0.3754, 0.3754)
Si (0.3754, 0.3754, 0.3754)
Si (0.3754, 0.3754, 0.8738)
Tl (0.7500, 0.7500, 0.7500)
Se (0.0000, 0.0000, 0.0000)


Density functional theory data (PBEsol) for a relaxed structure of K2InCuBr6.

Properties
As for the crystal system: cubic. The total DFT energy (no corrections) comes out at -31.10 eV/cell. Its formation energy without anion corrections is -1.0301 eV per atom.

Cell lengths 7.4539, 7.4539, 7.4539 Å; angles 60.00, 60.00, 60.00 degrees
Element x y z (fractional)
In (0.0000, 0.0000, 0.0000)
K (0.7500, 0.7500, 0.7500)
K (0.2500, 0.2500, 0.2500)
Br (0.2564, 0.2564, 0.7436)
Br (0.2564, 0.7436, 0.7436)
Br (0.7436, 0.2564, 0.7436)
Br (0.7436, 0.7436, 0.2564)
Br (0.2564, 0.7436, 0.2564)
Br (0.7436, 0.2564, 0.2564)
Cu (0.5000, 0.5000, 0.5000)


Density functional theory data (PBEsol) for a relaxed structure of BaFeSb2.

Properties
As for the crystal system: tetragonal. The total DFT energy (no corrections) comes out at -19.52 eV/cell. Its formation energy without anion corrections is 0.1759 eV per atom.

Cell lengths 4.7064, 4.7563, 4.7563 Å; angles 90.00, 90.00, 90.00 degrees
Last column: magnetic moment on the atom in μB.
Element x y z (fractional)
Ba (0.5000, 0.5000, 0.5000)  -0.02
Sb (0.0000, 0.0000, 0.5000)  0.02
Sb (0.0000, 0.5000, 0.0000)  0.02
Fe (0.5000, 0.0000, 0.0000)  3.08


Density functional theory data (PBEsol) for a relaxed structure of ZrNb2Pt.

Properties
The calculation puts the formation energy at -225 meV per atom. As for the crystal system: cubic. The total DFT energy (no corrections) comes out at -38.60 eV/cell.

Cell lengths 4.6103, 4.6103, 4.6103 Å; angles 60.00, 60.00, 60.00 degrees
Element x y z (fractional)
Zr (0.0000, 0.0000, 0.0000)
Nb (0.7500, 0.7500, 0.7500)
Nb (0.2500, 0.2500, 0.2500)
Pt (0.5000, 0.5000, 0.5000)


Density functional theory data (PBEsol) for a relaxed structure of TeRu2Cl.

Properties
The energy above the lowest structure with this stoichiometry is 0.066 eV/atom. As for the crystal system: tetragonal. The total DFT energy (no corrections) comes out at -22.67 eV/cell. Its formation energy without anion corrections is 0.8026 eV per atom.

Cell lengths 3.7050, 3.7050, 5.4111 Å; angles 110.02, 110.02, 90.00 degrees
Element x y z (fractional)
Ru (0.7500, 0.2500, 0.5000)
Ru (0.0000, 0.0000, 0.0000)
Te (0.5000, 0.5000, 0.0000)
Cl (0.2500, 0.7500, 0.5000)


Density functional theory data (PBEsol) for a relaxed structure of Ho4Cu5P7.

Properties
The calculation puts the formation energy at -877 meV per atom. As for the crystal system: tetragonal. The total DFT energy (no corrections) comes out at -96.04 eV/cell.

Cell lengths 5.1848, 5.1848, 10.1722 Å; angles 104.76, 104.76, 90.00 degrees
Element x y z (fractional)
Cu (0.0000, 0.0000, 0.0000)
Cu (0.2500, 0.7500, 0.5000)
Cu (0.7500, 0.2500, 0.5000)
Cu (0.2510, 0.2510, 0.5019)
Cu (0.7490, 0.7490, 0.4981)
Ho (0.1418, 0.1418, 0.7665)
Ho (0.8582, 0.3754, 0.2335)
Ho (0.6246, 0.6246, 0.7665)
Ho (0.3754, 0.8582, 0.2335)
P (0.5000, 0.5000, 0.0000)
P (0.0000, 0.5000, 0.0000)
P (0.5839, 0.0741, 0.6580)
P (0.0741, 0.5839, 0.6580)
P (0.4161, 0.4161, 0.3420)
P (0.5000, 0.0000, 0.0000)
P (0.9259, 0.9259, 0.3420)


Density functional theory data (PBEsol) for a relaxed structure of Te2RuO.

Properties
As for the crystal system: tetragonal. The total DFT energy (no corrections) comes out at -44.14 eV/cell. Its formation energy without anion corrections is 0.1015 eV per atom.

Cell lengths 5.4504, 5.4504, 7.0084 Å; angles 112.88, 112.88, 90.00 degrees
Element x y z (fractional)
O (0.7500, 0.2500, 0.5000)
O (0.5000, 0.5000, 0.0000)
Te (0.8514, 0.3750, 0.2500)
Te (0.1250, 0.1486, 0.7500)
Te (0.6250, 0.6014, 0.7500)
Te (0.3986, 0.8750, 0.2500)
Ru (0.2500, 0.7500, 0.5000)
Ru (0.0000, 0.0000, 0.0000)


Density functional theory data (PBEsol) for a relaxed structure of ZnAgOs2.

Properties
The calculation puts the formation energy at 697 meV per atom. As for the crystal system: orthorhombic. The total DFT energy (no corrections) comes out at -26.54 eV/cell.

Cell lengths 2.6719, 4.9338, 4.9338 Å; angles 116.59, 90.00, 90.00 degrees
Element x y z (fractional)
Os (0.0000, 0.5000, 0.0000)
Os (0.0000, 0.0000, 0.5000)
Zn (0.5000, 0.0000, 0.0000)
Ag (0.5000, 0.5000, 0.5000)


Density functional theory data (PBEsol) for a relaxed structure of MgZn4Cu2.

Properties
The calculation puts the formation energy at -76 meV per atom. The energy above the lowest structure with this stoichiometry is 0.000 eV/atom. As for the crystal system: tetragonal. The total DFT energy (no corrections) comes out at -17.24 eV/cell.

Cell lengths 4.8996, 5.1023, 5.1023 Å; angles 76.67, 61.31, 61.31 degrees
Element x y z (fractional)
Zn (0.6961, 0.0000, 0.6078)
Zn (0.6961, 0.6078, 0.0000)
Zn (0.3039, 0.0000, 0.3922)
Zn (0.3039, 0.3922, 0.0000)
Mg (0.0000, 0.0000, 0.0000)
Cu (0.2500, 0.5000, 0.5000)
Cu (0.7500, 0.5000, 0.5000)


| no. | N(E_F) (states/eV per cell) |
| --- | --- |
| 1 | 1.37 |
| 2 | 3.24 |
| 3 | 11.88 |
| 4 | 6.31 |
| 5 | 4.00 |
| 6 | 3.63 |
| 7 | 2.26 |
| 8 | 4.63 |
| 9 | 3.49 |
| 10 | 6.05 |
| 11 | 2.22 |
| 12 | 4.03 |
| 13 | 4.42 |
| 14 | 2.19 |